The following is a DFT calculation (GGA+U) of an optimized crystal structure of CaLaNbCoO6.

POSCAR file:
```
CaLaNbCoO6
1.0
-1.5596 5.1626 1.3860
-5.3446 -1.8761 0.9739
1.8885 -1.4301 7.6086
Ca La Nb Co O
2 2 2 2 12
direct
0.4856 0.1954 0.7478
0.9856 0.8046 0.2478
0.5117 0.3019 0.2521
0.0117 0.6981 0.7521
0.9999 0.2448 0.5016
0.4999 0.7552 0.0016
0.0011 0.2512 0.0000
0.5011 0.7488 0.5000
0.2929 0.4435 0.5473
0.7929 0.5565 0.0473
0.7096 0.0484 0.4528
0.2096 0.9516 0.9528
0.1973 0.9605 0.5530
0.6973 0.0395 0.0530
0.8085 0.5357 0.4457
0.3085 0.4643 0.9457
0.5936 0.7854 0.7565
0.0936 0.2146 0.2565
0.4007 0.7200 0.2436
0.9007 0.2800 0.7436
```

Values from the calculation:
- space-group type = Pc, No. 7
- uncorrected energy (eV/atom) = -7.849
- mass density (g cm⁻³) = 5.558